Model P:
Entry from OQMD via LeMat-Bulk: an optimized crystal structure of DyHoTeO2 (PBE).

Cell: 3.9025 3.9025 12.3968 Å, 90.00 90.00 90.00°
Last column: nearest neighbours and their distance in Å.
Space group I4mm (No. 107)
Unique sites:
1 Dy 0.0000 0.0000 0.0000 [2 per cell]  4 O 2.24
2 Ho 0.0000 0.0000 0.3247 [2 per cell]  4 O 2.23
3 Te 0.0000 0.0000 0.6621 [2 per cell]  4 Dy 3.41, 4 Ho 3.42, 8 O 3.65-3.67
4 O 0.0000 0.5000 0.4113 [4 per cell]  2 Ho 2.23, 2 Dy 2.24



Model Q:
Entry from OQMD via LeMat-Bulk: an optimized crystal structure of DyHoTeO2 (PBE).

Cell: 3.8763 3.8763 7.1601 Å, 90.00 90.00 120.00°
Last column: nearest neighbours and their distance in Å.
Space group P3m1 (No. 156)
Unique sites:
1 Dy 0.0000 0.0000 0.0000 [1 per cell]  4 O 2.27-2.30
2 Ho 0.6667 0.3333 0.3906 [1 per cell]  4 O 2.25-2.30
3 Te 0.3333 0.6667 0.6945 [1 per cell]  3 Ho 3.12, 3 Dy 3.13
4 O 0.0000 0.0000 0.3169 [1 per cell]  1 Dy 2.27, 3 Ho 2.30
5 O 0.6667 0.3333 0.0758 [1 per cell]  1 Ho 2.25, 3 Dy 2.30



Energy ordering: model P at the bottom, the next structure 0.082 eV/atom above.



Model P:
Entry from OQMD via LeMat-Bulk: an optimized crystal structure of Dy3Ho3Sb2Os (PBE).

Cell: 8.1767 8.1767 4.2049 Å, 90.00 90.00 120.00°
Last column: nearest neighbours and their distance in Å.
Space group P-62m (No. 189)
Unique sites:
1 Dy 0.0000 0.2377 0.0000 [3 per cell]  2 Os 2.86, 2 Sb 3.19
2 Ho 0.0000 0.6066 0.5000 [3 per cell]  1 Os 3.22, 4 Sb 3.28, 4 Dy 3.51
3 Sb 0.3333 0.6667 0.0000 [2 per cell]  3 Dy 3.19, 6 Ho 3.28
4 Os 0.0000 0.0000 0.5000 [1 per cell]  6 Dy 2.86



Model Q:
Entry from OQMD via LeMat-Bulk: an optimized crystal structure of Dy3Ho3Sb2Os (PBE).

Cell: 8.1709 8.1709 4.2046 Å, 90.00 90.00 120.00°
Last column: nearest neighbours and their distance in Å.
Space group P-62m (No. 189)
Unique sites:
1 Dy 0.0000 0.6066 0.0000 [3 per cell]  1 Os 3.21, 4 Sb 3.28, 4 Ho 3.50
2 Ho 0.0000 0.2373 0.5000 [3 per cell]  2 Os 2.86, 2 Sb 3.19
3 Sb 0.3333 0.6667 0.5000 [2 per cell]  3 Ho 3.19, 6 Dy 3.28
4 Os 0.0000 0.0000 0.0000 [1 per cell]  6 Ho 2.86



Energy ordering: model Q at the bottom, the next structure 0.020 eV/atom above.



Model P:
Entry from OQMD via LeMat-Bulk: an optimized crystal structure of DyHoPd (PBE).

Cell: 6.8642 6.8642 6.8642 Å, 90.00 90.00 90.00°
Last column: nearest neighbours and their distance in Å.
Space group F-43m (No. 216)
Unique sites:
1 Dy 0.0000 0.0000 0.0000 [4 per cell]  4 Pd 2.97
2 Ho 0.0000 0.0000 0.5000 [4 per cell]  4 Pd 2.97
3 Pd 0.2500 0.2500 0.2500 [4 per cell]  4 Dy 2.97, 4 Ho 2.97



Model Q:
Entry from OQMD via LeMat-Bulk: an optimized crystal structure of DyHoPd (PBE).

Cell: 7.0632 4.8617 8.7199 Å, 90.00 90.00 90.00°
Last column: nearest neighbours and their distance in Å.
Space group Pnma (No. 62)
Unique sites:
1 Dy 0.0153 0.2500 0.1711 [4 per cell]  3 Pd 2.80-3.11
2 Ho 0.1444 0.2500 0.5815 [4 per cell]  4 Pd 2.85-2.98
3 Pd 0.2410 0.2500 0.9066 [4 per cell]  3 Dy 2.80-3.11, 4 Ho 2.85-2.98



Energy ordering: model Q at the bottom, the next structure 0.150 eV/atom above.